[1]
{
  "formula": "MgCdHg6",
  "functional": "GGA-PBE",
  "state": "relaxed",
  "delta_e_f_ev_per_atom": -0.014,
  "rho_g_cm3": 10.16,
  "spacegroup": "Cmme",
  "m_tot_mub_per_fu": 0.000,
  "vol_a3_per_atom": 27.38,
  "cell": [[4.0842, -6.9191, 0.0000], [4.0842, 6.9191, 0.0000], [0.0000, 0.0000, 7.7512]],
  "species": ["Mg", "Mg", "Cd", "Cd", "Hg", "Hg", "Hg", "Hg", "Hg", "Hg", "Hg", "Hg", "Hg", "Hg", "Hg", "Hg"],
  "fractional_positions": [[0.2500, 0.2500, 0.0000], [0.7500, 0.7500, 0.0000], [0.2500, 0.7500, 0.5657], [0.7500, 0.2500, 0.4343], [0.0768, 0.3123, 0.6891], [0.1448, 0.8552, 0.9363], [0.1878, 0.4232, 0.3109], [0.3123, 0.0768, 0.3109], [0.3552, 0.6448, 0.9363], [0.4232, 0.1878, 0.6891], [0.5768, 0.8122, 0.3109], [0.6448, 0.3552, 0.0637], [0.6878, 0.9232, 0.6891], [0.8122, 0.5768, 0.6891], [0.8552, 0.1448, 0.0637], [0.9232, 0.6878, 0.3109]]
}



[2]
{
  "formula": "IrRuRh2",
  "functional": "GGA-PBE",
  "state": "relaxed",
  "delta_e_f_ev_per_atom": 0.066,
  "rho_g_cm3": 14.56,
  "spacegroup": "R-3m",
  "m_tot_mub_per_fu": 0.000,
  "vol_a3_per_atom": 14.23,
  "cell": [[1.3629, 0.7869, 8.8482], [-1.3629, 0.7869, 8.8482], [0.0000, -1.5737, 8.8482]],
  "species": ["Ir", "Ru", "Rh", "Rh"],
  "fractional_positions": [[0.0000, 0.0000, 0.0000], [0.5000, 0.5000, 0.5000], [0.2489, 0.2489, 0.2489], [0.7511, 0.7511, 0.7511]]
}



[3]
{
  "formula": "TbPr2Er2Sc2",
  "functional": "GGA-PBE",
  "state": "relaxed",
  "delta_e_f_ev_per_atom": 0.152,
  "rho_g_cm3": 6.62,
  "spacegroup": "C2/m",
  "m_tot_mub_per_fu": 0.000,
  "vol_a3_per_atom": 31.02,
  "cell": [[8.3153, -1.7049, 0.0000], [8.3153, 1.7049, 0.0000], [-3.8844, 0.0000, 7.6593]],
  "species": ["Tb", "Pr", "Pr", "Er", "Er", "Sc", "Sc"],
  "fractional_positions": [[0.0000, 0.0000, 0.0000], [0.3622, 0.3622, 0.5924], [0.6378, 0.6378, 0.4076], [0.0822, 0.0822, 0.7092], [0.9178, 0.9178, 0.2908], [0.2231, 0.2231, 0.1377], [0.7769, 0.7769, 0.8623]]
}



[4]
{
  "formula": "CoSb2W",
  "functional": "GGA-PBE",
  "state": "relaxed",
  "formation_energy_uncorrected_ev_per_atom": 0.481,
  "rho_g_cm3": 11.47,
  "spacegroup": "P2/m",
  "m_tot_mub_per_fu": 1.102,
  "vol_a3_per_atom": 17.60,
  "cell": [[3.3408, 0.0000, 0.0000], [0.0000, 3.3443, 0.0000], [-0.2399, 0.0000, 6.3011]],
  "species": ["Co", "Sb", "Sb", "W"],
  "fractional_positions": [[0.0000, 0.0000, 0.0000], [0.4821, 0.5000, 0.2445], [0.5179, 0.5000, 0.7555], [0.0000, 0.0000, 0.5000]]
}



[5]
{
  "formula": "Co2AsW",
  "functional": "GGA-PBE",
  "state": "relaxed",
  "delta_e_f_ev_per_atom": 0.343,
  "rho_g_cm3": 11.42,
  "spacegroup": "R3m",
  "m_tot_mub_per_fu": 2.665,
  "vol_a3_per_atom": 13.69,
  "cell": [[1.3963, 0.8061, 8.1064], [-1.3963, 0.8061, 8.1064], [0.0000, -1.6123, 8.1064]],
  "species": ["Co", "Co", "As", "W"],
  "fractional_positions": [[0.0000, 0.0000, 0.0000], [0.2545, 0.2545, 0.2545], [0.5111, 0.5111, 0.5111], [0.7517, 0.7517, 0.7517]]
}



[6]
{
  "formula": "NaV2Ag",
  "functional": "GGA-PBE",
  "state": "relaxed",
  "delta_e_f_ev_per_atom": 0.230,
  "rho_g_cm3": 5.15,
  "spacegroup": "P2_1/m",
  "m_tot_mub_per_fu": 0.000,
  "vol_a3_per_atom": 18.76,
  "cell": [[2.8378, 0.0000, 0.0000], [0.0000, 3.9299, 0.0000], [-1.2974, 0.0000, 13.4598]],
  "species": ["Na", "Na", "V", "V", "V", "V", "Ag", "Ag"],
  "fractional_positions": [[0.1890, 0.2500, 0.3918], [0.8110, 0.7500, 0.6082], [0.0396, 0.2500, 0.1316], [0.3518, 0.7500, 0.0380], [0.6482, 0.2500, 0.9620], [0.9604, 0.7500, 0.8684], [0.3798, 0.2500, 0.7529], [0.6202, 0.7500, 0.2471]]
}



Which formula does entry 4 have? CoSb2W